{"formula": "KTi3Si2P6O25", "functional": "meta-GGA SCAN", "state": "single point on PBEsol structure", "lattice_angstrom": [[8.349, 0.000, 0.000], [-4.174, 7.230, 0.000], [0.000, 0.000, 17.183]], "species": ["K", "K", "Ti", "Ti", "Ti", "Ti", "Ti", "Ti", "Si", "Si", "Si", "Si", "P", "P", "P", "P", "P", "P", "P", "P", "P", "P", "P", "P", "O", "O", "O", "O", "O", "O", "O", "O", "O", "O", "O", "O", "O", "O", "O", "O", "O", "O", "O", "O", "O", "O", "O", "O", "O", "O", "O", "O", "O", "O", "O", "O", "O", "O", "O", "O", "O", "O", "O", "O", "O", "O", "O", "O", "O", "O", "O", "O", "O", "O"], "fractional_positions": [[0.333, 0.667, 0.250], [0.667, 0.333, 0.750], [0.333, 0.667, 0.024], [0.333, 0.667, 0.476], [0.333, 0.667, 0.750], [0.667, 0.333, 0.250], [0.667, 0.333, 0.524], [0.667, 0.333, 0.976], [0.000, 0.000, 0.093], [0.000, 0.000, 0.407], [0.000, 0.000, 0.593], [0.000, 0.000, 0.907], [0.051, 0.384, 0.610], [0.051, 0.667, 0.890], [0.333, 0.384, 0.890], [0.333, 0.949, 0.610], [0.384, 0.051, 0.110], [0.384, 0.333, 0.390], [0.616, 0.667, 0.610], [0.616, 0.949, 0.890], [0.667, 0.051, 0.390], [0.667, 0.616, 0.110], [0.949, 0.333, 0.110], [0.949, 0.616, 0.390], [0.000, 0.000, 0.000], [0.000, 0.000, 0.500], [0.018, 0.190, 0.126], [0.018, 0.828, 0.374], [0.123, 0.519, 0.094], [0.123, 0.604, 0.406], [0.137, 0.481, 0.686], [0.137, 0.656, 0.814], [0.172, 0.190, 0.374], [0.172, 0.982, 0.126], [0.186, 0.446, 0.541], [0.186, 0.740, 0.959], [0.190, 0.018, 0.626], [0.190, 0.172, 0.874], [0.260, 0.446, 0.959], [0.260, 0.814, 0.541], [0.344, 0.481, 0.814], [0.344, 0.863, 0.686], [0.396, 0.519, 0.406], [0.396, 0.877, 0.094], [0.446, 0.186, 0.041], [0.446, 0.260, 0.459], [0.481, 0.137, 0.186], [0.481, 0.344, 0.314], [0.481, 0.604, 0.094], [0.481, 0.877, 0.406], [0.519, 0.123, 0.594], [0.519, 0.396, 0.906], [0.519, 0.656, 0.686], [0.519, 0.863, 0.814], [0.554, 0.740, 0.541], [0.554, 0.814, 0.959], [0.604, 0.123, 0.906], [0.604, 0.481, 0.594], [0.656, 0.137, 0.314], [0.656, 0.519, 0.186], [0.740, 0.186, 0.459], [0.740, 0.554, 0.041], [0.810, 0.828, 0.126], [0.810, 0.982, 0.374], [0.814, 0.260, 0.041], [0.814, 0.554, 0.459], [0.828, 0.018, 0.874], [0.828, 0.810, 0.626], [0.863, 0.344, 0.186], [0.863, 0.519, 0.314], [0.877, 0.396, 0.594], [0.877, 0.481, 0.906], [0.982, 0.172, 0.626], [0.982, 0.810, 0.874]], "raw_formation_energy_mev_per_atom": -2790, "sg": "P-31c (163)", "energy_ev_per_atom": -10.753, "magmom_total_mub_per_cell": 2.03, "n_ef_per_ev_cell": 12.424}

---

{"formula": "KSmP4O12", "functional": "meta-GGA SCAN", "state": "single point on PBEsol structure", "lattice_angstrom": [[3.946, -6.222, 0.000], [3.946, 6.222, 0.000], [-3.739, 0.000, 9.881]], "species": ["K", "K", "Sm", "Sm", "P", "P", "P", "P", "P", "P", "P", "P", "O", "O", "O", "O", "O", "O", "O", "O", "O", "O", "O", "O", "O", "O", "O", "O", "O", "O", "O", "O", "O", "O", "O", "O"], "fractional_positions": [[0.185, 0.815, 0.750], [0.815, 0.185, 0.250], [0.120, 0.880, 0.250], [0.880, 0.120, 0.750], [0.257, 0.305, 0.557], [0.284, 0.626, 0.001], [0.305, 0.257, 0.057], [0.374, 0.716, 0.499], [0.626, 0.284, 0.501], [0.695, 0.743, 0.943], [0.716, 0.374, 0.999], [0.743, 0.695, 0.443], [0.086, 0.487, 0.886], [0.137, 0.167, 0.413], [0.167, 0.137, 0.913], [0.185, 0.242, 0.671], [0.187, 0.700, 0.401], [0.242, 0.185, 0.171], [0.279, 0.535, 0.571], [0.300, 0.813, 0.099], [0.357, 0.500, 0.087], [0.465, 0.721, 0.929], [0.487, 0.086, 0.386], [0.500, 0.357, 0.587], [0.500, 0.643, 0.413], [0.513, 0.914, 0.614], [0.535, 0.279, 0.071], [0.643, 0.500, 0.913], [0.700, 0.187, 0.901], [0.721, 0.465, 0.429], [0.758, 0.815, 0.829], [0.813, 0.300, 0.599], [0.815, 0.758, 0.329], [0.833, 0.863, 0.087], [0.863, 0.833, 0.587], [0.914, 0.513, 0.114]], "raw_formation_energy_mev_per_atom": -2727, "sg": "C2/c (15)", "energy_ev_per_atom": -12.124, "magmom_total_mub_per_cell": 0.00, "n_ef_per_ev_cell": 0.000}

---

{"formula": "KSrPO4", "functional": "meta-GGA SCAN", "state": "single point on PBEsol structure", "lattice_angstrom": [[7.322, 0.000, 0.000], [0.000, 5.539, 0.000], [0.000, 0.000, 9.604]], "species": ["K", "K", "K", "K", "Sr", "Sr", "Sr", "Sr", "P", "P", "P", "P", "O", "O", "O", "O", "O", "O", "O", "O", "O", "O", "O", "O", "O", "O", "O", "O"], "fractional_positions": [[0.157, 0.250, 0.084], [0.343, 0.750, 0.584], [0.657, 0.250, 0.416], [0.843, 0.750, 0.916], [0.002, 0.750, 0.304], [0.498, 0.250, 0.804], [0.502, 0.750, 0.196], [0.998, 0.250, 0.696], [0.227, 0.250, 0.417], [0.273, 0.750, 0.917], [0.727, 0.250, 0.083], [0.773, 0.750, 0.583], [0.016, 0.250, 0.425], [0.192, 0.750, 0.067], [0.208, 0.520, 0.839], [0.208, 0.980, 0.839], [0.292, 0.020, 0.339], [0.292, 0.480, 0.339], [0.308, 0.250, 0.567], [0.484, 0.750, 0.925], [0.516, 0.250, 0.075], [0.692, 0.750, 0.433], [0.708, 0.520, 0.661], [0.708, 0.980, 0.661], [0.792, 0.020, 0.161], [0.792, 0.480, 0.161], [0.808, 0.250, 0.933], [0.984, 0.750, 0.575]], "raw_formation_energy_mev_per_atom": -2963, "sg": "Pnma (62)", "energy_ev_per_atom": -12.382, "magmom_total_mub_per_cell": 0.00, "n_ef_per_ev_cell": 0.000}

---

{"formula": "KTaPO2", "functional": "meta-GGA SCAN", "state": "single point on PBEsol structure", "lattice_angstrom": [[3.932, 0.000, 0.000], [0.000, 3.932, 0.000], [0.000, 0.000, 5.189]], "species": ["K", "Ta", "P", "O", "O"], "fractional_positions": [[0.000, 0.000, 0.000], [0.500, 0.500, 0.500], [0.000, 0.000, 0.500], [0.000, 0.500, 0.000], [0.500, 0.000, 0.000]], "raw_formation_energy_mev_per_atom": 1448, "sg": "P4/mmm (123)", "energy_ev_per_atom": -18.106, "magmom_total_mub_per_cell": 0.00, "n_ef_per_ev_cell": 3.512}